VASP calculation (PBE) on a relaxed Mo2RhCl crystal.

Values from the calculation:
**D(E_F)**: 23.56 states/eV/cell
**Relative energy among the computed polymorphs**: 765 meV/atom
**Formation energy (no corrections)**: 0.852 eV per atom
**Total magnetization**: 3.20 μB/cell

Cell: 6.3140 6.3140 6.3140 Å, 90.00 90.00 90.00°
Sites, in units of the cell vectors:
Mo (0.0000, 0.0000, 0.0000)
Mo (0.0000, 0.5000, 0.5000)
Mo (0.2500, 0.2500, 0.2500)
Mo (0.2500, 0.7500, 0.7500)
Mo (0.5000, 0.0000, 0.5000)
Mo (0.5000, 0.5000, 0.0000)
Mo (0.7500, 0.2500, 0.7500)
Mo (0.7500, 0.7500, 0.2500)
Rh (0.2500, 0.2500, 0.7500)
Rh (0.2500, 0.7500, 0.2500)
Rh (0.7500, 0.2500, 0.2500)
Rh (0.7500, 0.7500, 0.7500)
Cl (0.0000, 0.0000, 0.5000)
Cl (0.0000, 0.5000, 0.0000)
Cl (0.5000, 0.0000, 0.0000)
Cl (0.5000, 0.5000, 0.5000)

***

VASP calculation (PBE) on a relaxed Mo2RhCl crystal.

Values from the calculation:
**D(E_F)**: 2.82 states/eV/cell
**Relative energy among the computed polymorphs**: 215 meV/atom
**Formation energy (no corrections)**: 0.302 eV per atom
**Total magnetization**: 0.00 μB/cell

Cell: 2.8061 3.8634 5.9929 Å, 90.00 90.00 90.00°
Sites, in units of the cell vectors:
Mo (0.0000, 0.0000, 0.2197)
Mo (0.0000, 0.0000, 0.7803)
Rh (0.5000, 0.5000, 0.0000)
Cl (0.0000, 0.5000, 0.5000)

***

Number 1: density 8.7 g/cm³. Number 2: density 8.4 g/cm³.